Record 1
Compound: Zr6PbS12
Source: Alexandria via LeMat-Bulk
Functional: GGA-PBE
Structure: relaxed

```
Zr6PbS12
1.0
6.2020 3.5807 3.0710
-6.2020 3.5807 3.0710
0.0000 -7.1615 3.0710
Zr Pb S
6 1 12
direct
0.2533 0.2533 0.6536
0.2533 0.6536 0.2533
0.3464 0.7467 0.7467
0.6536 0.2533 0.2533
0.7467 0.3464 0.7467
0.7467 0.7467 0.3464
0.0000 0.0000 0.0000
0.1265 0.5000 0.8735
0.1265 0.8735 0.5000
0.1701 0.4393 0.4393
0.4393 0.1701 0.4393
0.4393 0.4393 0.1701
0.5000 0.1265 0.8735
0.5000 0.8735 0.1265
0.5607 0.5607 0.8299
0.5607 0.8299 0.5607
0.8299 0.5607 0.5607
0.8735 0.1265 0.5000
0.8735 0.5000 0.1265
```

Calculated values
- E_form (uncorrected) (meV per atom) = -1123.6
- DOS(E_F) (states/eV/cell) = 3.95

***

Record 2
Compound: ZrPbS2
Source: Alexandria via LeMat-Bulk
Functional: GGA-PBE
Structure: relaxed

```
ZrPbS2
1.0
6.2336 0.0000 0.0000
0.0000 3.5989 0.0000
-1.2334 0.0000 8.4015
Zr Pb S
2 2 4
direct
0.0000 0.0000 0.0000
0.5000 0.5000 0.0000
0.0000 0.0000 0.5000
0.5000 0.5000 0.5000
0.1307 0.5000 0.8150
0.3693 0.0000 0.1850
0.6307 0.0000 0.8150
0.8693 0.5000 0.1850
```

Calculated values
- E_form (uncorrected) (meV per atom) = -1091.3
- DOS(E_F) (states/eV/cell) = 4.42

***

Record 3
Compound: Sb5Pb3
Source: Alexandria via LeMat-Bulk
Functional: GGA-PBE
Structure: relaxed

```
Sb5Pb3
1.0
6.4479 0.0000 0.0000
-1.9504 8.8109 0.0000
-3.0122 -2.6648 8.8992
Sb Pb
10 6
direct
0.1426 0.3684 0.1956
0.1715 0.3847 0.6935
0.2011 0.8763 0.7476
0.3340 0.1261 0.0580
0.3390 0.1230 0.5781
0.6610 0.8770 0.4219
0.6660 0.8739 0.9420
0.7989 0.1237 0.2524
0.8285 0.6153 0.3065
0.8574 0.6316 0.8044
0.1543 0.8887 0.2434
0.3340 0.6337 0.5223
0.3369 0.6256 0.0346
0.6631 0.3744 0.9654
0.6660 0.3663 0.4777
0.8457 0.1113 0.7566
```

Calculated values
- E_form (uncorrected) (meV per atom) = 61.3
- DOS(E_F) (states/eV/cell) = 7.34

***

Record 4
Compound: SbPb
Source: Alexandria via LeMat-Bulk
Functional: GGA-PBE
Structure: relaxed

```
SbPb
1.0
7.0616 0.0000 0.0000
0.0000 7.0616 0.0000
0.0000 0.0000 7.0616
Sb Pb
4 4
direct
0.0000 0.0000 0.0000
0.0000 0.5000 0.5000
0.5000 0.0000 0.5000
0.5000 0.5000 0.0000
0.2500 0.2500 0.7500
0.2500 0.7500 0.2500
0.7500 0.2500 0.2500
0.7500 0.7500 0.7500
```

Calculated values
- E_form (uncorrected) (meV per atom) = 213.6
- DOS(E_F) (states/eV/cell) = 9.47

***

Record 5
Compound: Sb3Pb4
Source: Alexandria via LeMat-Bulk
Functional: GGA-PBE
Structure: relaxed

```
Sb3Pb4
1.0
6.4126 0.0000 0.0000
-3.2063 5.5535 0.0000
0.0000 0.0000 6.1124
Sb Pb
3 4
direct
0.0000 0.5000 0.0000
0.5000 0.0000 0.0000
0.5000 0.5000 0.0000
0.0000 0.0000 0.2513
0.0000 0.0000 0.7487
0.3333 0.6667 0.5000
0.6667 0.3333 0.5000
```

Calculated values
- E_form (uncorrected) (meV per atom) = 153.8
- DOS(E_F) (states/eV/cell) = 3.96

***

Record 6
Compound: Sb3Pb4
Source: Alexandria via LeMat-Bulk
Functional: GGA-PBE
Structure: relaxed

```
Sb3Pb4
1.0
7.9619 0.0000 0.0000
-2.6488 7.9995 0.0000
-2.6476 -3.9906 6.9371
Sb Pb
6 8
direct
0.0372 0.2639 0.1306
0.2729 0.3662 0.7363
0.4065 0.8696 0.6336
0.5935 0.1304 0.3664
0.7271 0.6338 0.2637
0.9628 0.7361 0.8694
0.0000 0.5000 0.5000
0.1500 0.9866 0.3603
0.2893 0.6401 0.1260
0.3363 0.1260 0.9860
0.5000 0.5000 0.5000
0.6637 0.8740 0.0140
0.7107 0.3599 0.8740
0.8500 0.0134 0.6397
```

Calculated values
- E_form (uncorrected) (meV per atom) = 22.8
- DOS(E_F) (states/eV/cell) = 6.86

***

Record 7
Compound: SbPb2
Source: Alexandria via LeMat-Bulk
Functional: GGA-PBE
Structure: relaxed

```
SbPb2
1.0
5.6045 0.0000 0.0000
-2.8023 4.8537 0.0000
0.0000 0.0000 6.7821
Sb Pb
2 4
direct
0.3333 0.6667 0.2500
0.6667 0.3333 0.7500
0.0000 0.0000 0.0000
0.0000 0.0000 0.5000
0.3333 0.6667 0.7500
0.6667 0.3333 0.2500
```

Calculated values
- E_form (uncorrected) (meV per atom) = 33.3
- energy above the lowest structure with this stoichiometry (eV/atom) = 0.0088
- DOS(E_F) (states/eV/cell) = 3.09

***

Record 8
Compound: SbPb4
Source: Alexandria via LeMat-Bulk
Functional: GGA-PBE
Structure: relaxed

```
SbPb4
1.0
7.2307 0.0000 0.0000
0.0000 7.2307 0.0000
0.0000 0.0000 7.2307
Sb Pb
2 8
direct
0.0000 0.0000 0.0000
0.5000 0.5000 0.5000
0.2500 0.2500 0.2500
0.2500 0.2500 0.7500
0.2500 0.7500 0.2500
0.2500 0.7500 0.7500
0.7500 0.2500 0.2500
0.7500 0.2500 0.7500
0.7500 0.7500 0.2500
0.7500 0.7500 0.7500
```

Calculated values
- E_form (uncorrected) (meV per atom) = 273.3
- energy above the lowest structure with this stoichiometry (eV/atom) = 0.2394
- DOS(E_F) (states/eV/cell) = 5.78

***

Record 9
Compound: SbPb4
Source: Alexandria via LeMat-Bulk
Functional: GGA-PBE
Structure: relaxed

```
SbPb4
1.0
6.0367 0.0000 0.0000
0.0000 5.9689 0.0000
-3.2529 0.0000 8.5987
Sb Pb
2 8
direct
0.0000 0.0000 0.0000
0.0000 0.5000 0.5000
0.1873 0.0010 0.3937
0.1873 0.4990 0.8937
0.4214 0.5011 0.3069
0.4214 0.9989 0.8069
0.5786 0.0011 0.1931
0.5786 0.4989 0.6931
0.8127 0.5010 0.1063
0.8127 0.9990 0.6063
```

Calculated values
- E_form (uncorrected) (meV per atom) = 38.2
- energy above the lowest structure with this stoichiometry (eV/atom) = 0.0042
- DOS(E_F) (states/eV/cell) = 4.80

***

Record 10
Compound: SbPb5
Source: Alexandria via LeMat-Bulk
Functional: GGA-PBE
Structure: relaxed

```
SbPb5
1.0
4.7084 0.0000 0.0000
0.0000 15.2134 0.0000
0.0000 0.0000 5.2082
Sb Pb
2 10
direct
0.0000 0.0000 0.0000
0.5000 0.5000 0.0000
0.0000 0.1678 0.5000
0.0000 0.3380 0.0000
0.0000 0.5000 0.5000
0.0000 0.6620 0.0000
0.0000 0.8322 0.5000
0.5000 0.0000 0.5000
0.5000 0.1620 0.0000
0.5000 0.3322 0.5000
0.5000 0.6678 0.5000
0.5000 0.8380 0.0000
```

Calculated values
- E_form (uncorrected) (meV per atom) = 46.4
- energy above the lowest structure with this stoichiometry (eV/atom) = 0.0164
- DOS(E_F) (states/eV/cell) = 7.64

***

Record 11
Compound: Sb3Pb
Source: Alexandria via LeMat-Bulk
Functional: GGA-PBE
Structure: relaxed

```
Sb3Pb
1.0
7.7217 0.0000 0.0000
0.0000 7.7217 0.0000
0.0000 0.0000 7.7217
Sb Pb
12 4
direct
0.0000 0.0000 0.0000
0.0000 0.5000 0.5000
0.2500 0.2500 0.2500
0.2500 0.2500 0.7500
0.2500 0.7500 0.2500
0.2500 0.7500 0.7500
0.5000 0.0000 0.5000
0.5000 0.5000 0.0000
0.7500 0.2500 0.2500
0.7500 0.2500 0.7500
0.7500 0.7500 0.2500
0.7500 0.7500 0.7500
0.0000 0.0000 0.5000
0.0000 0.5000 0.0000
0.5000 0.0000 0.0000
0.5000 0.5000 0.5000
```

Calculated values
- E_form (uncorrected) (meV per atom) = 238.4
- energy above the lowest structure with this stoichiometry (eV/atom) = 0.1830
- DOS(E_F) (states/eV/cell) = 26.78

***

Record 12
Compound: Sb7Pb
Source: Alexandria via LeMat-Bulk
Functional: GGA-PBE
Structure: relaxed

```
Sb7Pb
1.0
0.0000 4.8266 4.8266
4.8266 0.0000 4.8266
4.8266 4.8266 0.0000
Sb Pb
7 1
direct
0.0000 0.0000 0.0000
0.0000 0.0000 0.5000
0.0000 0.5000 0.0000
0.0000 0.5000 0.5000
0.5000 0.0000 0.0000
0.5000 0.0000 0.5000
0.5000 0.5000 0.0000
0.5000 0.5000 0.5000
```

Calculated values
- E_form (uncorrected) (meV per atom) = 278.8
- DOS(E_F) (states/eV/cell) = 6.67

***

Record 13
Compound: Sb12Pb17
Source: Alexandria via LeMat-Bulk
Functional: GGA-PBE
Structure: relaxed

```
Sb12Pb17
1.0
-6.1435 6.1435 6.1435
6.1435 -6.1435 6.1435
6.1435 6.1435 -6.1435
Sb Pb
12 17
direct
0.0000 0.2183 0.3926
0.0000 0.3926 0.2183
0.1744 0.7817 0.7817
0.2183 0.0000 0.3926
0.2183 0.3926 0.0000
0.3926 0.0000 0.2183
0.3926 0.2183 0.0000
0.6074 0.6074 0.8256
0.6074 0.8256 0.6074
0.7817 0.1744 0.7817
0.7817 0.7817 0.1744
0.8256 0.6074 0.6074
0.0000 0.0000 0.0000
0.0000 0.0000 0.7041
0.0000 0.4210 0.7053
0.0000 0.7041 0.0000
0.0000 0.7053 0.4210
0.2843 0.5790 0.5790
0.2947 0.2947 0.7157
0.2947 0.7157 0.2947
0.2959 0.2959 0.2959
0.4210 0.0000 0.7053
0.4210 0.7053 0.0000
0.5790 0.2843 0.5790
0.5790 0.5790 0.2843
0.7041 0.0000 0.0000
0.7053 0.0000 0.4210
0.7053 0.4210 0.0000
0.7157 0.2947 0.2947
```

Calculated values
- E_form (uncorrected) (meV per atom) = 101.8
- DOS(E_F) (states/eV/cell) = 16.26

***

Record 14
Compound: Sb3Pb2
Source: Alexandria via LeMat-Bulk
Functional: GGA-PBE
Structure: relaxed

```
Sb3Pb2
1.0
4.3611 0.0000 0.0000
-2.1806 3.7768 0.0000
0.0000 0.0000 10.1641
Sb Pb
3 2
direct
0.0000 0.0000 0.0000
0.3333 0.6667 0.4196
0.6667 0.3333 0.5804
0.3333 0.6667 0.8166
0.6667 0.3333 0.1834
```

Calculated values
- E_form (uncorrected) (meV per atom) = 71.1
- energy above the lowest structure with this stoichiometry (eV/atom) = 0.0000
- DOS(E_F) (states/eV/cell) = 3.02

***

Record 15
Compound: Sb2Pb13
Source: Alexandria via LeMat-Bulk
Functional: GGA-PBE
Structure: relaxed

```
Sb2Pb13
1.0
6.9328 0.0000 0.0000
1.8932 8.0740 0.0000
1.5162 2.8328 8.4007
Sb Pb
2 13
direct
0.1452 0.2788 0.4523
0.8548 0.7212 0.5477
0.0000 0.5000 0.0000
0.0781 0.9053 0.7251
0.1844 0.6846 0.2228
0.2607 0.0992 0.9509
0.3034 0.4961 0.6541
0.4187 0.8975 0.3914
0.4720 0.3037 0.1346
0.5280 0.6963 0.8654
0.5813 0.1025 0.6086
0.6966 0.5039 0.3459
0.7393 0.9008 0.0491
0.8156 0.3154 0.7772
0.9219 0.0947 0.2749
```

Calculated values
- E_form (uncorrected) (meV per atom) = 35.3
- energy above the lowest structure with this stoichiometry (eV/atom) = 0.0000
- DOS(E_F) (states/eV/cell) = 7.12

***

Record 16
Compound: SbPb
Source: Alexandria via LeMat-Bulk
Functional: GGA-PBE
Structure: relaxed

```
SbPb
1.0
6.4687 0.0000 0.0000
0.0000 8.3670 0.0000
0.0000 0.0000 9.8539
Sb Pb
8 8
direct
0.0791 0.1107 0.0020
0.2493 0.3710 0.4946
0.2507 0.6290 0.9946
0.4209 0.8893 0.5020
0.5791 0.3893 0.9980
0.7493 0.1290 0.5054
0.7507 0.8710 0.0054
0.9209 0.6107 0.4980
0.0130 0.9085 0.3145
0.0137 0.9004 0.6919
0.4863 0.0996 0.1919
0.4870 0.0915 0.8145
0.5130 0.5915 0.6855
0.5137 0.5996 0.3081
0.9863 0.4004 0.8081
0.9870 0.4085 0.1855
```

Calculated values
- E_form (uncorrected) (meV per atom) = 35.4
- DOS(E_F) (states/eV/cell) = 2.80

***

Record 17
Compound: SbPb
Source: Alexandria via LeMat-Bulk
Functional: GGA-PBE
Structure: relaxed

```
SbPb
1.0
3.4252 0.0000 0.0000
0.0000 5.4543 0.0000
-1.5190 0.0000 6.5708
Sb Pb
2 2
direct
0.1197 0.2500 0.1845
0.8803 0.7500 0.8155
0.3410 0.2500 0.6709
0.6590 0.7500 0.3291
```

Calculated values
- E_form (uncorrected) (meV per atom) = 69.7
- DOS(E_F) (states/eV/cell) = 1.30

***

Record 18
Compound: SbPb2
Source: Alexandria via LeMat-Bulk
Functional: GGA-PBE
Structure: relaxed

```
SbPb2
1.0
13.6207 0.0000 0.0000
0.0000 3.3389 0.0000
-2.6885 0.0000 8.2261
Sb Pb
4 8
direct
0.2099 0.0000 0.1888
0.2901 0.5000 0.8112
0.7099 0.5000 0.1888
0.7901 0.0000 0.8112
0.0644 0.5000 0.8526
0.1233 0.0000 0.4918
0.3767 0.5000 0.5082
0.4356 0.0000 0.1474
0.5644 0.0000 0.8526
0.6233 0.5000 0.4918
0.8767 0.0000 0.5082
0.9356 0.5000 0.1474
```

Calculated values
- E_form (uncorrected) (meV per atom) = 59.3
- energy above the lowest structure with this stoichiometry (eV/atom) = 0.0349
- DOS(E_F) (states/eV/cell) = 6.99

***

Record 19
Compound: SbPb2
Source: Alexandria via LeMat-Bulk
Functional: GGA-PBE
Structure: relaxed

```
SbPb2
1.0
5.8695 0.0000 0.0000
-2.9347 5.0831 0.0000
0.0000 0.0000 9.6437
Sb Pb
3 6
direct
0.0000 0.0000 0.0000
0.3333 0.6667 0.6667
0.6667 0.3333 0.3333
0.0000 0.0000 0.3254
0.0000 0.0000 0.6746
0.3333 0.6667 0.3412
0.3333 0.6667 0.9921
0.6667 0.3333 0.0079
0.6667 0.3333 0.6588
```

Calculated values
- E_form (uncorrected) (meV per atom) = 61.2
- energy above the lowest structure with this stoichiometry (eV/atom) = 0.0368
- DOS(E_F) (states/eV/cell) = 5.24

***

Record 20
Compound: SbPb
Source: Alexandria via LeMat-Bulk
Functional: GGA-PBE
Structure: relaxed

```
SbPb
1.0
9.6415 0.0000 0.0000
0.0000 9.6415 0.0000
0.0000 0.0000 9.6415
Sb Pb
8 8
direct
0.1651 0.1651 0.1651
0.1651 0.8349 0.8349
0.3349 0.3349 0.6651
0.3349 0.6651 0.3349
0.6651 0.3349 0.3349
0.6651 0.6651 0.6651
0.8349 0.1651 0.8349
0.8349 0.8349 0.1651
0.1526 0.1526 0.8474
0.1526 0.8474 0.1526
0.3474 0.3474 0.3474
0.3474 0.6526 0.6526
0.6526 0.3474 0.6526
0.6526 0.6526 0.3474
0.8474 0.1526 0.1526
0.8474 0.8474 0.8474
```

Calculated values
- E_form (uncorrected) (meV per atom) = 322.3
- DOS(E_F) (states/eV/cell) = 22.77